TlCo2C: optimized geometry, PBE.

Cell: 6.0846 6.0846 5.1690 Å, 53.94 53.94 90.00°
Last column: nearest neighbours and their distance in Å.
Fractional coordinates of all 8 atoms:
1 Tl 0.0000 0.0000 0.0000  8 Co 2.74-2.85, 2 C 2.86
2 Tl 0.7500 0.2500 0.5000  8 Co 2.74-2.85, 2 C 2.86
3 Co 0.4975 0.1250 0.2500  2 C 1.84
4 Co 0.2525 0.6250 0.2500  2 C 1.84
5 Co 0.3750 0.5025 0.7500  2 C 1.84
6 Co 0.8750 0.7475 0.7500  2 C 1.84
7 C 0.5000 0.5000 0.0000  4 Co 1.84
8 C 0.2500 0.7500 0.5000  4 Co 1.84

Values from the calculation:
Energy above the most stable polymorph in this dataset in meV per atom: 0
Space group: I-42d
ΔH_f (0 K) in eV per atom: 0.485
VASP energy in eV per atom: -5.97

---

Y2TlCoC: optimized geometry, PBE.

Cell: 5.1294 5.1294 3.7119 Å, 90.00 90.00 90.00°
Last column: nearest neighbours and their distance in Å.
Fractional coordinates of all 5 atoms:
1 Y 0.0000 0.5000 0.0000  2 C 2.56
2 Y 0.5000 0.0000 0.0000  2 C 2.56
3 Tl 0.5000 0.5000 0.5000  8 Y 3.17
4 Co 0.0000 0.0000 0.5000  2 C 1.86
5 C 0.0000 0.0000 0.0000  2 Co 1.86

Values from the calculation:
Space group: P4/mmm
ΔH_f (0 K) in eV per atom: -0.304
VASP energy in eV per atom: -6.63

---

TmCo4C: optimized geometry, PBE.

Cell: 3.9314 5.5239 6.9258 Å, 90.00 106.49 90.00°
Last column: nearest neighbours and their distance in Å.
Fractional coordinates of all 12 atoms:
1 Tm 0.3981 0.7500 0.7963  13 Co 2.76-2.89
2 Tm 0.6019 0.2500 0.2037  13 Co 2.76-2.89
3 Co 0.2034 0.5177 0.4068  1 C 1.87
4 Co 0.7966 0.4823 0.5932  1 C 1.87
5 Co 0.2034 0.9823 0.4068  1 C 1.87
6 Co 0.7966 0.0177 0.5932  1 C 1.87
7 Co 0.6150 0.7500 0.2300  2 C 1.97
8 Co 0.3850 0.2500 0.7700  2 C 1.97
9 Co 0.0000 0.5000 0.0000  2 C 1.93
10 Co 0.0000 0.0000 0.0000  2 C 1.93
11 C 0.1012 0.7500 0.2023  6 Co 1.87-1.97
12 C 0.8988 0.2500 0.7977  6 Co 1.87-1.97

Values from the calculation:
Space group: Cmcm
ΔH_f (0 K) in eV per atom: -0.069
VASP energy in eV per atom: -7.09